This record from Alexandria describes a geometry-optimized Y2Zn2GaPd5 structure. The functional is PBE-GGA.

Output
Space-group type ... P4/mbm, No. 127
Formation enthalpy at 0 K ... -0.70 eV/atom

Unit cell a=9.7644 b=9.7644 c=3.6959 alpha=90.00 beta=90.00 gamma=90.00
Element x y z (fractional)
Y 0.1752 0.3248 0.0000
Y 0.3248 0.8248 0.0000
Y 0.6752 0.1752 0.0000
Y 0.8248 0.6752 0.0000
Zn 0.1231 0.6231 0.0000
Zn 0.3769 0.1231 0.0000
Zn 0.6231 0.8769 0.0000
Zn 0.8769 0.3769 0.0000
Ga 0.0000 0.0000 0.0000
Ga 0.5000 0.5000 0.0000
Pd 0.0000 0.5000 0.5000
Pd 0.0628 0.7990 0.5000
Pd 0.2010 0.0628 0.5000
Pd 0.2990 0.5628 0.5000
Pd 0.4372 0.2990 0.5000
Pd 0.5000 0.0000 0.5000
Pd 0.5628 0.7010 0.5000
Pd 0.7010 0.4372 0.5000
Pd 0.7990 0.9372 0.5000
Pd 0.9372 0.2010 0.5000